Entry 1
Here is crystalline Co2Ni8Pt at its relaxed geometry from Alexandria via LeMat-Bulk. Energies are from PBE.

The calculation puts the density at 10.381 Mg/m³.

Cell: 12.9031 3.5592 5.6456 Å, 90.00 105.09 90.00°
Last column: nearest neighbours and their distance in Å.
Space group C2/m (No. 12)
Symmetry-distinct sites (fractional):
Co (0.2279, 0.0000, 0.1328) (multiplicity 4)  10 Ni 2.45-2.53, 2 Co 2.49
Ni (0.0493, 0.0000, 0.2200) (multiplicity 4)  9 Ni 2.47-2.63, 1 Co 2.48, 2 Pt 2.57
Ni (0.0937, 0.5000, 0.9601) (multiplicity 4)  8 Ni 2.47-2.57, 3 Co 2.49-2.50, 1 Pt 2.56
Ni (0.1414, 0.0000, 0.6920) (multiplicity 4)  3 Co 2.45-2.47, 7 Ni 2.45-2.63, 2 Pt 2.58
Ni (0.1850, 0.5000, 0.4096) (multiplicity 4)  8 Ni 2.45-2.55, 3 Co 2.52-2.53, 1 Pt 2.57
Pt (0.0000, 0.5000, 0.5000) (multiplicity 2)  12 Ni 2.56-2.58

Entry 2
Here is crystalline Co2Ni8Pt at its relaxed geometry from Alexandria via LeMat-Bulk. Energies are from PBE.

The calculation puts the density at 9.951 Mg/m³.

Cell: 6.5054 12.4485 4.2908 Å, 90.00 131.27 90.00°
Last column: nearest neighbours and their distance in Å.
Space group C2/m (No. 12)
Symmetry-distinct sites (fractional):
Co (0.0000, 0.1846, 0.0000) (multiplicity 4)  12 Ni 2.45-2.57
Ni (0.0000, 0.2986, 0.5000) (multiplicity 4)  6 Ni 2.39-2.58, 4 Co 2.45-2.57, 1 Pt 2.51
Ni (0.0015, 0.0000, 0.2477) (multiplicity 4)  2 Ni 2.11-2.18
Ni (0.2391, 0.3640, 0.2381) (multiplicity 8)  7 Ni 2.34-2.58, 3 Co 2.52-2.57
Pt (0.0000, 0.5000, 0.5000) (multiplicity 2)  6 Ni 2.51-2.67

Relative energies, meV per atom: entry 1 0; entry 2 212.

Entry 1
Here is crystalline Co4Ni7Pt at its relaxed geometry from Alexandria via LeMat-Bulk. Energies are from PBE.

The calculation puts the density at 10.236 Mg/m³.

Cell: 4.3454 5.0825 6.6496 Å, 78.90 71.69 89.93°
Last column: nearest neighbours and their distance in Å.
Space group P-1 (No. 2)
Symmetry-distinct sites (fractional):
Co (0.9997, 0.0849, 0.1635) (multiplicity 2)  9 Ni 2.46-2.55, 3 Co 2.48-2.52
Co (0.4965, 0.3305, 0.1587) (multiplicity 2)  8 Ni 2.44-2.59, 3 Co 2.45-2.52, 1 Pt 2.58
Ni (0.0018, 0.2413, 0.5001) (multiplicity 2)  7 Ni 2.45-2.63, 3 Co 2.51-2.55, 2 Pt 2.53-2.55
Ni (0.0068, 0.5861, 0.1593) (multiplicity 2)  5 Ni 2.46-2.58, 6 Co 2.46-2.57, 1 Pt 2.58
Ni (0.4974, 0.1607, 0.8390) (multiplicity 2)  5 Ni 2.44-2.57, 6 Co 2.44-2.59, 1 Pt 2.56
Ni (0.5000, 0.0000, 0.5000) (multiplicity 1)  6 Ni 2.49-2.54, 2 Pt 2.54, 4 Co 2.55
Pt (0.5000, 0.5000, 0.5000) (multiplicity 1)  10 Ni 2.53-2.58, 2 Co 2.58

Entry 2
Here is crystalline Co4Ni7Pt at its relaxed geometry from Alexandria via LeMat-Bulk. Energies are from PBE.

The calculation puts the density at 9.324 Mg/m³.

Cell: 8.9706 4.4301 8.6849 Å, 90.00 119.70 90.00°
Last column: nearest neighbours and their distance in Å.
Space group C2/m (No. 12)
Symmetry-distinct sites (fractional):
Co (0.0968, 0.0000, 0.3112) (multiplicity 4)  7 Ni 2.37-2.64, 1 Co 2.41
Co (0.1838, 0.5000, 0.7725) (multiplicity 4)  8 Ni 2.36-2.55, 1 Co 2.41
Ni (0.0000, 0.0000, 0.0000) (multiplicity 2)  2 Pt 2.22, 2 Ni 2.27, 2 Co 2.39
Ni (0.1078, 0.5000, 0.4519) (multiplicity 4)  5 Co 2.36-2.52, 4 Ni 2.46-2.55
Ni (0.1557, 0.0000, 0.6158) (multiplicity 4)  5 Ni 2.39-2.55, 4 Co 2.43-2.64
Ni (0.1973, 0.0000, 0.9093) (multiplicity 4)  2 Ni 2.27-2.39, 4 Co 2.37-2.49, 1 Pt 2.42
Pt (0.0000, 0.5000, 0.0000) (multiplicity 2)  4 Ni 2.22-2.42

Relative energies, meV per atom: entry 1 0; entry 2 429.

Entry 1
Here is crystalline Co2Ni2Pt7 at its relaxed geometry from Alexandria via LeMat-Bulk. Energies are from PBE.

The calculation puts the density at 17.019 Mg/m³.

Cell: 4.6808 6.1109 6.1158 Å, 107.62 105.05 98.34°
Last column: nearest neighbours and their distance in Å.
Space group P-1 (No. 2)
Symmetry-distinct sites (fractional):
Co (0.1368, 0.2215, 0.0426) (multiplicity 2)  9 Pt 2.63-2.75, 1 Co 2.65, 2 Ni 2.74-2.77
Ni (0.0445, 0.4086, 0.6821) (multiplicity 2)  9 Pt 2.64-2.77, 2 Co 2.74-2.77, 1 Ni 2.75
Pt (0.2210, 0.0390, 0.3992) (multiplicity 2)  2 Co 2.63-2.70, 2 Ni 2.67-2.77, 8 Pt 2.68-2.83
Pt (0.3066, 0.8539, 0.7747) (multiplicity 2)  2 Ni 2.64-2.69, 3 Co 2.65-2.72, 7 Pt 2.68-2.86
Pt (0.3936, 0.6682, 0.1285) (multiplicity 2)  3 Ni 2.64-2.75, 3 Co 2.65-2.75, 6 Pt 2.67-2.86
Pt (0.5000, 0.5000, 0.5000) (multiplicity 1)  4 Ni 2.71, 2 Co 2.72, 6 Pt 2.73-2.74

Entry 2
Here is crystalline Co2Ni2Pt7 at its relaxed geometry from Alexandria via LeMat-Bulk. Energies are from PBE.

The calculation puts the density at 14.942 Mg/m³.

Cell: 6.9397 8.3797 6.1186 Å, 90.00 90.00 90.00°
Last column: nearest neighbours and their distance in Å.
Space group Cmmm (No. 65)
Symmetry-distinct sites (fractional):
Co (0.0000, 0.2059, 0.0000) (multiplicity 4)  7 Pt 2.45-2.46
Ni (0.1667, 0.5000, 0.5000) (multiplicity 4)  1 Ni 2.31, 4 Pt 2.56
Pt (0.0000, 0.0000, 0.2852) (multiplicity 4)  2 Co 2.45, 5 Pt 2.63-2.72, 2 Ni 2.66
Pt (0.0000, 0.5000, 0.0000) (multiplicity 2)  2 Co 2.46
Pt (0.2500, 0.2500, 0.2781) (multiplicity 8)  2 Co 2.46, 2 Ni 2.56, 3 Pt 2.72

Relative energies, meV per atom: entry 1 0; entry 2 441.

Entry 1
Here is crystalline CoNi4Pt3 at its relaxed geometry from Alexandria via LeMat-Bulk. Energies are from PBE.

The calculation puts the density at 14.010 Mg/m³.

Cell: 16.9494 2.6700 4.6249 Å, 90.00 95.43 90.00°
Last column: nearest neighbours and their distance in Å.
Space group C2/m (No. 12)
Symmetry-distinct sites (fractional):
Co (0.0000, 0.0000, 0.0000) (multiplicity 2)  6 Ni 2.54, 2 Co 2.67, 4 Pt 2.67
Ni (0.1202, 0.5000, 0.8835) (multiplicity 4)  2 Co 2.54, 4 Pt 2.57-2.69, 6 Ni 2.59-2.75
Ni (0.1218, 0.0000, 0.3642) (multiplicity 4)  1 Co 2.54, 5 Pt 2.59-2.67, 6 Ni 2.59-2.75
Pt (0.0000, 0.5000, 0.5000) (multiplicity 2)  6 Ni 2.57-2.59, 2 Pt 2.67, 4 Co 2.67
Pt (0.2494, 0.0000, 0.7498) (multiplicity 4)  6 Ni 2.65-2.69, 6 Pt 2.67

Entry 2
Here is crystalline CoNi4Pt3 at its relaxed geometry from Alexandria via LeMat-Bulk. Energies are from PBE.

The calculation puts the density at 14.188 Mg/m³.

Cell: 2.6819 2.6819 14.3015 Å, 90.00 90.00 90.00°
Last column: nearest neighbours and their distance in Å.
Space group P4/mmm (No. 123)
Symmetry-distinct sites (fractional):
Co (0.0000, 0.0000, 0.0000) (multiplicity 1)  8 Ni 2.47, 4 Co 2.68
Ni (0.5000, 0.5000, 0.1106) (multiplicity 2)  4 Co 2.47, 4 Pt 2.67, 4 Ni 2.68
Ni (0.5000, 0.5000, 0.3712) (multiplicity 2)  8 Pt 2.64-2.65, 4 Ni 2.68
Pt (0.0000, 0.0000, 0.2417) (multiplicity 2)  8 Ni 2.65-2.67, 4 Pt 2.68
Pt (0.0000, 0.0000, 0.5000) (multiplicity 1)  8 Ni 2.64, 4 Pt 2.68

Relative energies, meV per atom: entry 1 9; entry 2 0.

Entry 1
Here is crystalline CoNi5Pt2 at its relaxed geometry from Alexandria via LeMat-Bulk. Energies are from PBE.

The calculation puts the density at 12.590 Mg/m³.

Cell: 8.1952 3.6383 13.2464 Å, 90.00 97.30 90.00°
Last column: nearest neighbours and their distance in Å.
Space group C2/m (No. 12)
Symmetry-distinct sites (fractional):
Co (0.0902, 0.0000, 0.2177) (multiplicity 4)  7 Ni 2.56-2.64, 5 Pt 2.56-2.62
Ni (0.0291, 0.0000, 0.4083) (multiplicity 4)  8 Ni 2.53-2.64, 3 Pt 2.57-2.59, 1 Co 2.64
Ni (0.0301, 0.5000, 0.9100) (multiplicity 4)  7 Ni 2.50-2.64, 3 Pt 2.59, 2 Co 2.59
Ni (0.0916, 0.5000, 0.7194) (multiplicity 4)  3 Co 2.56-2.63, 5 Pt 2.56-2.63, 4 Ni 2.59-2.64
Ni (0.1509, 0.5000, 0.5304) (multiplicity 4)  9 Ni 2.50-2.64, 3 Pt 2.55-2.58
Ni (0.1517, 0.0000, 0.0313) (multiplicity 4)  8 Ni 2.52-2.63, 3 Pt 2.57, 1 Co 2.58
Pt (0.2162, 0.5000, 0.3475) (multiplicity 4)  9 Ni 2.55-2.63, 2 Co 2.62, 1 Pt 2.70
Pt (0.2182, 0.0000, 0.8470) (multiplicity 4)  3 Co 2.56-2.62, 8 Ni 2.57-2.61, 1 Pt 2.70

Entry 2
Here is crystalline CoNi5Pt2 at its relaxed geometry from Alexandria via LeMat-Bulk. Energies are from PBE.

The calculation puts the density at 12.554 Mg/m³.

Cell: 3.7349 3.7349 14.0823 Å, 90.00 90.00 90.00°
Last column: nearest neighbours and their distance in Å.
Space group I4/mmm (No. 139)
Symmetry-distinct sites (fractional):
Co (0.0000, 0.0000, 0.0000) (multiplicity 2)  12 Ni 2.48-2.64
Ni (0.0000, 0.0000, 0.5000) (multiplicity 2)  8 Ni 2.48, 4 Co 2.64
Ni (0.0000, 0.5000, 0.1154) (multiplicity 8)  2 Co 2.48, 6 Ni 2.48-2.64, 4 Pt 2.65-2.67
Pt (0.0000, 0.0000, 0.2512) (multiplicity 4)  4 Pt 2.64, 8 Ni 2.65-2.67

Relative energies, meV per atom: entry 1 0; entry 2 42.

Entry 1
Here is crystalline CoNi2Pt3 at its relaxed geometry from Alexandria via LeMat-Bulk. Energies are from PBE.

The calculation puts the density at 14.732 Mg/m³.

Cell: 7.9760 8.1198 5.3018 Å, 90.00 90.00 90.00°
Last column: nearest neighbours and their distance in Å.
Space group Cmc2_1 (No. 36)
Symmetry-distinct sites (fractional):
Co (0.0000, 0.2235, 0.0000) (multiplicity 4)  6 Pt 2.60-2.61, 2 Ni 2.68
Ni (0.1644, 0.2742, 0.5040) (multiplicity 8)  6 Pt 2.59-2.64, 1 Ni 2.62, 1 Co 2.68
Pt (0.0000, 0.4987, 0.2513) (multiplicity 4)  2 Co 2.60-2.61, 4 Ni 2.61-2.62, 4 Pt 2.65-2.66
Pt (0.1664, 0.0007, 0.2531) (multiplicity 8)  4 Ni 2.59-2.64, 2 Co 2.61, 4 Pt 2.65-2.66

Entry 2
Here is crystalline CoNi2Pt3 at its relaxed geometry from Alexandria via LeMat-Bulk. Energies are from PBE.

The calculation puts the density at 15.609 Mg/m³.

Cell: 3.8376 11.5038 7.3407 Å, 90.00 90.00 90.00°
Last column: nearest neighbours and their distance in Å.
Space group Cmmm (No. 65)
Symmetry-distinct sites (fractional):
Co (0.0000, 0.1709, 0.0000) (multiplicity 4)  8 Pt 2.62-2.68, 2 Co 2.64, 2 Ni 2.75
Ni (0.0000, 0.1677, 0.5000) (multiplicity 4)  8 Pt 2.65-2.67, 4 Ni 2.70-2.72
Ni (0.0000, 0.5000, 0.0000) (multiplicity 2)  8 Pt 2.65, 4 Co 2.75
Ni (0.0000, 0.5000, 0.5000) (multiplicity 2)  8 Pt 2.66, 4 Ni 2.72
Pt (0.0000, 0.0000, 0.2484) (multiplicity 4)  6 Ni 2.65-2.67, 2 Co 2.68, 4 Pt 2.71
Pt (0.0000, 0.3336, 0.2488) (multiplicity 8)  3 Co 2.62-2.65, 5 Ni 2.65-2.66, 4 Pt 2.71-2.72

Relative energies, meV per atom: entry 1 213; entry 2 0.

Entry 1
Here is crystalline Co3Ni3Pt at its relaxed geometry from Alexandria via LeMat-Bulk. Energies are from PBE.

The calculation puts the density at 10.394 Mg/m³.

Cell: 9.0764 3.8892 9.9194 Å, 90.00 90.00 90.00°
Last column: nearest neighbours and their distance in Å.
Space group Pnma (No. 62)
Symmetry-distinct sites (fractional):
Co (0.0785, 0.2500, 0.0594) (multiplicity 4)  3 Co 2.35-2.50, 4 Ni 2.41-2.54, 1 Pt 2.51
Co (0.0823, 0.2500, 0.5661) (multiplicity 4)  5 Ni 2.34-2.49, 1 Co 2.53, 3 Pt 2.54-2.59
Co (0.1804, 0.7500, 0.9320) (multiplicity 4)  5 Ni 2.32-2.51, 4 Co 2.35-2.53
Ni (0.0752, 0.2500, 0.8167) (multiplicity 4)  6 Co 2.41-2.69, 3 Ni 2.45-2.53, 2 Pt 2.59
Ni (0.1804, 0.7500, 0.4397) (multiplicity 4)  6 Co 2.32-2.49, 2 Ni 2.53
Ni (0.1952, 0.7500, 0.1847) (multiplicity 4)  4 Co 2.34-2.54, 3 Ni 2.45-2.53
Pt (0.0513, 0.2500, 0.3113) (multiplicity 4)  5 Co 2.51-2.71, 6 Ni 2.59-2.66

Entry 2
Here is crystalline Co3Ni3Pt at its relaxed geometry from Alexandria via LeMat-Bulk. Energies are from PBE.

The calculation puts the density at 11.084 Mg/m³.

Cell: 6.7627 6.7627 4.1453 Å, 90.00 90.00 120.00°
Last column: nearest neighbours and their distance in Å.
Space group P6_3/m (No. 176)
Symmetry-distinct sites (fractional):
Co (0.0930, 0.6215, 0.2500) (multiplicity 6)  5 Ni 2.49-2.58, 3 Pt 2.55-2.56, 4 Co 2.55-2.59
Ni (0.0394, 0.8088, 0.7500) (multiplicity 6)  5 Co 2.49-2.58, 6 Ni 2.50-2.53, 1 Pt 2.61
Pt (0.3333, 0.6667, 0.7500) (multiplicity 2)  9 Co 2.55-2.56, 3 Ni 2.61

Relative energies, meV per atom: entry 1 178; entry 2 0.

Entry 1
Here is crystalline CoNiPt3 at its relaxed geometry from Alexandria via LeMat-Bulk. Energies are from PBE.

The calculation puts the density at 16.035 Mg/m³.

Cell: 2.6904 5.2983 10.2125 Å, 90.00 90.00 90.00°
Last column: nearest neighbours and their distance in Å.
Space group Pmmn (No. 59, origin choice 2)
Symmetry-distinct sites (fractional):
Co (0.2500, 0.2500, 0.0171) (multiplicity 2)  6 Pt 2.56-2.64, 2 Co 2.69
Ni (0.2500, 0.7500, 0.3816) (multiplicity 2)  8 Pt 2.53-2.66, 2 Ni 2.69
Pt (0.2500, 0.0010, 0.8025) (multiplicity 4)  3 Co 2.56-2.64, 4 Pt 2.64-2.69, 2 Ni 2.66
Pt (0.2500, 0.2500, 0.4080) (multiplicity 2)  4 Ni 2.53-2.66, 2 Pt 2.69

Entry 2
Here is crystalline CoNiPt3 at its relaxed geometry from Alexandria via LeMat-Bulk. Energies are from PBE.

The calculation puts the density at 12.681 Mg/m³.

Cell: 4.5150 4.5150 4.5150 Å, 90.00 90.00 90.00°
Last column: nearest neighbours and their distance in Å.
Space group Pm-3m (No. 221)
Symmetry-distinct sites (fractional):
Co (0.0000, 0.0000, 0.0000) (multiplicity 1)  6 Pt 2.26
Ni (0.5000, 0.5000, 0.5000) (multiplicity 1)  12 Pt 3.19
Pt (0.0000, 0.0000, 0.5000) (multiplicity 3)  2 Co 2.26

Entry 3
Here is crystalline CoNiPt3 at its relaxed geometry from Alexandria via LeMat-Bulk. Energies are from PBE.

The calculation puts the density at 16.223 Mg/m³.

Cell: 2.7334 6.5021 8.2805 Å, 89.23 89.99 77.91°
Last column: nearest neighbours and their distance in Å.
Space group P-1 (No. 2)
Symmetry-distinct sites (fractional):
Co (0.2010, 0.0975, 0.4123) (multiplicity 2)  2 Co 2.34, 5 Pt 2.51-2.60
Ni (0.4070, 0.6863, 0.0631) (multiplicity 2)  8 Pt 2.58-2.70, 3 Ni 2.60-2.73
Pt (0.0559, 0.3889, 0.2039) (multiplicity 2)  1 Co 2.51, 4 Ni 2.60-2.65, 6 Pt 2.73-2.82
Pt (0.2552, 0.9920, 0.8443) (multiplicity 2)  3 Ni 2.58-2.64, 2 Co 2.59-2.60, 4 Pt 2.73-2.82
Pt (0.4108, 0.6798, 0.3895) (multiplicity 2)  3 Co 2.57-2.67, 1 Ni 2.70, 4 Pt 2.73-2.78

Relative energies, meV per atom: entry 1 33; entry 2 1143; entry 3 0.